Entry 1:
Material: AcSmTl
Method: DFT, PBE
State: relaxed

Structure (POSCAR):
```
AcSmTl
1.0
7.042 0.000 0.000
0.000 7.041 0.000
-0.007 0.000 8.634
Ac Sm Tl
4 4 4
direct
0.250 0.000 0.147
0.250 0.500 0.853
0.750 0.000 0.853
0.750 0.500 0.147
0.000 0.250 0.500
0.000 0.750 0.500
0.500 0.250 0.500
0.500 0.750 0.500
0.250 0.000 0.753
0.250 0.500 0.247
0.750 0.000 0.247
0.750 0.500 0.753
```

Summary:
Calculated volume   35.67 A^3/atom
Energy relative to the elements   -252 meV per atom
Relative energy among the computed polymorphs   0 meV/atom

Entry 2:
Material: HoEr3Sc3
Method: DFT, PBE
State: relaxed

Structure (POSCAR):
```
HoEr3Sc3
1.0
5.411 0.000 0.000
2.633 5.527 0.000
0.433 2.466 13.343
Ho Er Sc
2 6 6
direct
0.150 0.216 0.488
0.850 0.784 0.512
0.020 0.438 0.734
0.330 0.820 0.700
0.362 0.786 0.344
0.638 0.214 0.656
0.670 0.180 0.300
0.980 0.562 0.266
0.183 0.006 0.914
0.187 0.254 0.096
0.483 0.634 0.106
0.517 0.366 0.894
0.813 0.746 0.904
0.817 0.994 0.086
```

Summary:
Calculated volume   28.50 A^3/atom
Energy relative to the elements   153 meV per atom
Relative energy among the computed polymorphs   132 meV/atom

Entry 3:
Material: Ta2TcPd
Method: DFT, PBE
State: relaxed

Structure (POSCAR):
```
Ta2TcPd
1.0
4.300 0.000 0.000
0.000 4.300 0.000
0.000 0.000 3.561
Ta Tc Pd
2 1 1
direct
0.000 0.500 0.000
0.500 0.000 0.000
0.000 0.000 0.500
0.500 0.500 0.500
```

Summary:
Calculated volume   16.46 A^3/atom
Energy relative to the elements   -213 meV per atom

Entry 4:
Material: ZrRhSe3
Method: DFT, PBE
State: relaxed

Structure (POSCAR):
```
ZrRhSe3
1.0
5.177 0.000 0.000
0.000 5.177 0.000
0.000 0.000 5.177
Zr Rh Se
1 1 3
direct
0.000 0.000 0.000
0.500 0.500 0.500
0.000 0.000 0.500
0.000 0.500 0.000
0.500 0.000 0.000
```

Summary:
Calculated volume   27.74 A^3/atom
Relative energy among the computed polymorphs   168 meV/atom
ΔE_f (raw)   1.0 eV per formula unit

Entry 5:
Material: Nd2Zn5Si
Method: DFT, PBE
State: relaxed

Structure (POSCAR):
```
Nd2Zn5Si
1.0
2.208 -8.065 0.000
2.208 8.065 0.000
0.000 0.000 8.831
Nd Zn Si
4 10 2
direct
0.000 0.000 0.000
0.000 0.000 0.500
0.204 0.796 0.750
0.796 0.204 0.250
0.186 0.814 0.106
0.186 0.814 0.394
0.351 0.649 0.023
0.351 0.649 0.477
0.405 0.595 0.750
0.595 0.405 0.250
0.649 0.351 0.523
0.649 0.351 0.977
0.814 0.186 0.606
0.814 0.186 0.894
0.443 0.557 0.250
0.557 0.443 0.750
```

Summary:
Calculated volume   19.66 A^3/atom
ΔE_f (raw)   -3.5 eV per formula unit

Entry 6:
Material: ScAgC
Method: DFT, PBE
State: relaxed

Structure (POSCAR):
```
ScAgC
1.0
3.422 0.000 0.000
-1.233 3.881 0.000
-0.938 -1.147 7.018
Sc Ag C
2 2 2
direct
0.086 0.256 0.348
0.914 0.744 0.652
0.365 0.741 0.101
0.635 0.259 0.899
0.390 0.835 0.445
0.610 0.165 0.555
```

Summary:
Calculated volume   15.53 A^3/atom
Energy relative to the elements   -162 meV per atom

Entry 7:
Material: CaAcHg
Method: DFT, PBE
State: relaxed

Structure (POSCAR):
```
CaAcHg
1.0
3.904 0.000 0.000
0.000 3.904 0.000
0.000 0.000 13.788
Ca Ac Hg
2 2 2
direct
0.000 0.000 0.000
0.500 0.500 0.500
0.000 0.000 0.279
0.500 0.500 0.779
0.000 0.000 0.627
0.500 0.500 0.127
```

Summary:
Calculated volume   35.03 A^3/atom
Energy relative to the elements   -321 meV per atom
Relative energy among the computed polymorphs   0 meV/atom

Entry 8:
Material: TbZrZn2
Method: DFT, PBE
State: relaxed

Structure (POSCAR):
```
TbZrZn2
1.0
3.472 0.000 0.000
0.000 3.472 0.000
0.000 0.000 6.850
Tb Zr Zn
1 1 2
direct
0.000 0.000 0.000
0.000 0.000 0.500
0.500 0.500 0.275
0.500 0.500 0.725
```

Summary:
Calculated volume   20.64 A^3/atom
Energy relative to the elements   -280 meV per atom

Which of these has the lowest calculated volume?
ScAgC

Repeat the seventh record exactly.
Material: CaAcHg
Method: DFT, PBE
State: relaxed

Structure (POSCAR):
```
CaAcHg
1.0
3.904 0.000 0.000
0.000 3.904 0.000
0.000 0.000 13.788
Ca Ac Hg
2 2 2
direct
0.000 0.000 0.000
0.500 0.500 0.500
0.000 0.000 0.279
0.500 0.500 0.779
0.000 0.000 0.627
0.500 0.500 0.127
```

Summary:
Calculated volume   35.03 A^3/atom
Energy relative to the elements   -321 meV per atom
Relative energy among the computed polymorphs   0 meV/atom

Among the records above, which one has the highest calculated volume?
AcSmTl